*a*
DFT (PBE) results for a relaxed structure of BeTl2Co.

Geometry as CIF:
```
data_BeTl2Co
_chemical_formula_sum 'Be2 Tl4 Co2'
_space_group_name_H-M_alt 'C m m m'
_space_group_IT_number 65
_space_group_name_Hall '-C 2 2'
_cell_length_a 6.272
_cell_length_b 6.657
_cell_length_c 3.305
_cell_angle_alpha 90.00
_cell_angle_beta 90.00
_cell_angle_gamma 90.00
loop_
_atom_site_label
_atom_site_type_symbol
_atom_site_fract_x
_atom_site_fract_y
_atom_site_fract_z
Be1 Be 0.000 0.000 0.000
Tl1 Tl 0.250 0.250 0.500
Co1 Co 0.000 0.500 0.000
```

## Properties
Its total magnetization is 0.34 μB per formula unit. As for the density of states at the Fermi level: 2.9 states/eV/f.u.

=====

*b*
DFT (PBE) results for a relaxed structure of BeTl2Co.

Geometry as CIF:
```
data_BeTl2Co
_chemical_formula_sum 'Be1 Tl2 Co1'
_space_group_name_H-M_alt 'P 1 m 1'
_space_group_IT_number 6
_space_group_name_Hall 'P -2y'
_cell_length_a 3.941
_cell_length_b 3.726
_cell_length_c 5.237
_cell_angle_alpha 90.00
_cell_angle_beta 111.95
_cell_angle_gamma 90.00
loop_
_atom_site_label
_atom_site_type_symbol
_atom_site_fract_x
_atom_site_fract_y
_atom_site_fract_z
Be1 Be 0.000 0.000 0.000
Tl1 Tl 0.298 0.000 0.595
Tl2 Tl 0.592 0.500 0.185
Co1 Co 0.885 0.500 0.770
```

## Properties
Its total magnetization is 0.30 μB per formula unit. As for the density of states at the Fermi level: 2.6 states/eV/f.u.

=====

*c*
DFT (PBE) results for a relaxed structure of BeTl2Co.

Geometry as CIF:
```
data_BeTl2Co
_chemical_formula_sum 'Be2 Tl4 Co2'
_space_group_name_H-M_alt 'C m m m'
_space_group_IT_number 65
_space_group_name_Hall '-C 2 2'
_cell_length_a 3.445
_cell_length_b 5.393
_cell_length_c 8.159
_cell_angle_alpha 90.00
_cell_angle_beta 90.00
_cell_angle_gamma 90.00
loop_
_atom_site_label
_atom_site_type_symbol
_atom_site_fract_x
_atom_site_fract_y
_atom_site_fract_z
Be1 Be 0.000 0.000 0.000
Tl1 Tl 0.000 0.500 0.248
Co1 Co 0.000 0.000 0.500
```

## Properties
Its total magnetization is 1.29 μB per formula unit. As for the density of states at the Fermi level: 4.1 states/eV/f.u.

=====

Result of the stability comparison: *c* is the least stable of them.

=====

*a*
DFT (PBE) results for a relaxed structure of Be3TlCo.

Geometry as CIF:
```
data_Be3TlCo
_chemical_formula_sum 'Be3 Tl1 Co1'
_space_group_name_H-M_alt 'P m -3 m'
_space_group_IT_number 221
_space_group_name_Hall '-P 4 2 3'
_cell_length_a 4.109
_cell_length_b 4.109
_cell_length_c 4.109
_cell_angle_alpha 90.00
_cell_angle_beta 90.00
_cell_angle_gamma 90.00
loop_
_atom_site_label
_atom_site_type_symbol
_atom_site_fract_x
_atom_site_fract_y
_atom_site_fract_z
Be1 Be 0.000 0.000 0.500
Tl1 Tl 0.500 0.500 0.500
Co1 Co 0.000 0.000 0.000
```

## Properties
Its total magnetization is 0.00 μB per formula unit. As for the density of states at the Fermi level: 1.7 states/eV/f.u.

=====

*b*
DFT (PBE) results for a relaxed structure of Be3TlCo.

Geometry as CIF:
```
data_Be3TlCo
_chemical_formula_sum 'Be3 Tl1 Co1'
_space_group_name_H-M_alt 'P m -3 m'
_space_group_IT_number 221
_space_group_name_Hall '-P 4 2 3'
_cell_length_a 4.457
_cell_length_b 4.457
_cell_length_c 4.457
_cell_angle_alpha 90.00
_cell_angle_beta 90.00
_cell_angle_gamma 90.00
loop_
_atom_site_label
_atom_site_type_symbol
_atom_site_fract_x
_atom_site_fract_y
_atom_site_fract_z
Be1 Be 0.000 0.000 0.500
Tl1 Tl 0.000 0.000 0.000
Co1 Co 0.500 0.500 0.500
```

## Properties
Its total magnetization is 1.58 μB per formula unit. As for the density of states at the Fermi level: 6.7 states/eV/f.u.

=====

Result of the stability comparison: *b* is the least stable of them.

=====

*a*
DFT (PBE) results for a relaxed structure of BeTlCo2.

Geometry as CIF:
```
data_BeTlCo2
_chemical_formula_sum 'Be2 Tl2 Co4'
_space_group_name_H-M_alt 'I m m 2'
_space_group_IT_number 44
_space_group_name_Hall 'I 2 -2'
_cell_length_a 3.088
_cell_length_b 4.130
_cell_length_c 8.270
_cell_angle_alpha 90.00
_cell_angle_beta 90.00
_cell_angle_gamma 90.00
loop_
_atom_site_label
_atom_site_type_symbol
_atom_site_fract_x
_atom_site_fract_y
_atom_site_fract_z
Be1 Be 0.000 0.000 0.000
Tl1 Tl 0.000 0.500 0.240
Co1 Co 0.000 0.000 0.464
Co2 Co 0.000 0.500 0.702
```

## Properties
Its total magnetization is 2.27 μB per formula unit. As for the density of states at the Fermi level: 4.1 states/eV/f.u.

=====

*b*
DFT (PBE) results for a relaxed structure of BeTlCo2.

Geometry as CIF:
```
data_BeTlCo2
_chemical_formula_sum 'Be1 Tl1 Co2'
_space_group_name_H-M_alt 'P 1 m 1'
_space_group_IT_number 6
_space_group_name_Hall 'P -2y'
_cell_length_a 2.835
_cell_length_b 3.883
_cell_length_c 5.183
_cell_angle_alpha 90.00
_cell_angle_beta 105.49
_cell_angle_gamma 90.00
loop_
_atom_site_label
_atom_site_type_symbol
_atom_site_fract_x
_atom_site_fract_y
_atom_site_fract_z
Be1 Be 0.000 0.000 0.000
Tl1 Tl 0.353 0.500 0.704
Co1 Co 0.088 0.500 0.181
Co2 Co 0.674 0.000 0.354
```

## Properties
Its total magnetization is 2.47 μB per formula unit. As for the density of states at the Fermi level: 3.5 states/eV/f.u.

=====

Result of the stability comparison: *a* is the least stable of them.